PBE-GGA MoPbCl2, optimized geometry; total moment = 4.40 μB/cell; final energy = -4.097 eV per atom; ΔE_f (raw) = 0.461 eV/atom
1.0
3.138 -4.042 0.194
0.329 -2.784 4.286
-1.935 -4.740 0.129
Cl Mo Pb
2 1 1
direct
0.750 0.750 0.750
0.250 0.250 0.250
0.000 0.000 0.000
0.500 0.500 0.500



PBE-GGA Dy4ErSe5, optimized geometry; total moment = 0.00 μB/cell; final energy = -5.775 eV per atom; ΔE_f (raw) = -1.736 eV/atom
1.0
-2.848 2.615 -1.239
-1.395 -2.763 -2.627
-6.896 -4.965 12.019
Dy Se Er
4 5 1
direct
0.602 0.602 0.204
0.398 0.398 0.796
0.196 0.196 0.393
0.804 0.804 0.607
0.702 0.702 0.404
0.298 0.298 0.596
0.098 0.098 0.196
0.500 0.500 0.000
0.902 0.902 0.804
0.000 0.000 0.000



no.,ρ (g cm⁻³)
1,6.54
2,8.46